# 1
Compound: Pm2HgH
Source: Alexandria via LeMat-Bulk
Functional: GGA-PBE
Structure: relaxed

Cell: 3.7361 3.7361 7.7266 Å, 90.00 90.00 120.00°
Last column: nearest neighbours and their distance in Å.
Space group P-3m1 (No. 164)
One atom of each set of equivalent atoms:
Pm (0.3333, 0.6667, 0.1825) [2 per cell]  3 H 2.58
Hg (0.0000, 0.0000, 0.5000) [1 per cell]  6 Pm 3.27
H (0.0000, 0.0000, 0.0000) [1 per cell]  6 Pm 2.58

Results
crystal system: trigonal

***

# 2
Compound: Pm2HgH2
Source: Alexandria via LeMat-Bulk
Functional: GGA-PBE
Structure: relaxed

Cell: 3.8926 3.8926 12.4186 Å, 90.00 90.00 90.00°
Last column: nearest neighbours and their distance in Å.
Space group I4/mmm (No. 139)
One atom of each set of equivalent atoms:
Pm (0.0000, 0.0000, 0.1482) [4 per cell]  4 H 2.32
Hg (0.0000, 0.0000, 0.5000) [2 per cell]  8 Pm 3.31, 8 H 3.66
H (0.0000, 0.5000, 0.2500) [4 per cell]  4 Pm 2.32

Results
crystal system: tetragonal

***

# 3
Compound: Pm6Hg3H
Source: Alexandria via LeMat-Bulk
Functional: GGA-PBE
Structure: relaxed

Cell: 6.5804 8.3277 11.8077 Å, 90.00 119.92 90.00°
Last column: nearest neighbours and their distance in Å.
Space group P2_1/c (No. 14)
One atom of each set of equivalent atoms:
Pm (0.0663, 0.0601, 0.2312) [4 per cell]  1 H 2.59
Pm (0.1792, 0.7166, 0.0648) [4 per cell]  1 H 2.58
Pm (0.3973, 0.1462, 0.0492) [4 per cell]  1 H 2.67
Hg (0.3212, 0.1149, 0.7297) [4 per cell]  7 Pm 3.13-3.50
Hg (0.5000, 0.0000, 0.5000) [2 per cell]  6 Pm 3.07-3.15
H (0.0000, 0.0000, 0.0000) [2 per cell]  6 Pm 2.58-2.67

Results
crystal system: monoclinic

***

| no. | final energy (hartree per atom) | Fermi-level density of states (states/eV per cell) |
| --- | --- | --- |
| 1 | -0.1333 | 4.02 |
| 2 | -0.1436 | 5.31 |
| 3 | -0.1303 | 20.68 |